[1]
# Li5AgPb2, optimized geometry, DFT PBE-GGA
# Calculated volume = 311 Å³ per cell
# Magnetic moment = 0.000 μB per atom
# Total energy = -2.698 eV per atom
# ΔE_f = -21.1 kJ per mole of atoms
data_Li5AgPb2
_chemical_formula_sum 'Li10 Ag2 Pb4'
_cell_length_a 4.960
_cell_length_b 4.960
_cell_length_c 12.627
_cell_angle_alpha 90.00
_cell_angle_beta 90.00
_cell_angle_gamma 90.00
_symmetry_space_group_name_H-M 'I 4/m m m'
_symmetry_Int_Tables_number 139
_symmetry_space_group_name_Hall '-I 4 2'
loop_
_atom_site_label
_atom_site_type_symbol
_atom_site_fract_x
_atom_site_fract_y
_atom_site_fract_z
_atom_site_occupancy
Li1 Li 0.000 0.000 0.000 1
Li2 Li 0.000 0.500 0.120 1
Ag1 Ag 0.000 0.000 0.500 1
Pb1 Pb 0.000 0.000 0.251 1

***

[2]
# Ti2GaAu, optimized geometry, DFT PBE-GGA
# Calculated volume = 66 Å³ per cell
# Magnetic moment = 0.106 μB per atom
# Total energy = -5.949 eV per atom
# ΔE_f = -41.1 kJ per mole of atoms
data_Ti2GaAu
_chemical_formula_sum 'Ti2 Ga1 Au1'
_cell_length_a 2.913
_cell_length_b 2.913
_cell_length_c 7.743
_cell_angle_alpha 90.00
_cell_angle_beta 90.00
_cell_angle_gamma 90.00
_symmetry_space_group_name_H-M 'P 4/m m m'
_symmetry_Int_Tables_number 123
_symmetry_space_group_name_Hall '-P 4 2'
loop_
_atom_site_label
_atom_site_type_symbol
_atom_site_fract_x
_atom_site_fract_y
_atom_site_fract_z
_atom_site_occupancy
Ti1 Ti 0.000 0.000 0.242 1
Ga1 Ga 0.500 0.500 0.000 1
Au1 Au 0.500 0.500 0.500 1

***

Q: What is the total energy in the first record?
A: -2.698 eV per atom

***

Q: Among the records above, which one has the highest calculated volume?
A: Li5AgPb2

***

Q: Look up the calculated volume of the second one.
A: 66 Å³ per cell

***

Please write out number 1 again, unchanged.
# Li5AgPb2, optimized geometry, DFT PBE-GGA
# Calculated volume = 311 Å³ per cell
# Magnetic moment = 0.000 μB per atom
# Total energy = -2.698 eV per atom
# ΔE_f = -21.1 kJ per mole of atoms
data_Li5AgPb2
_chemical_formula_sum 'Li10 Ag2 Pb4'
_cell_length_a 4.960
_cell_length_b 4.960
_cell_length_c 12.627
_cell_angle_alpha 90.00
_cell_angle_beta 90.00
_cell_angle_gamma 90.00
_symmetry_space_group_name_H-M 'I 4/m m m'
_symmetry_Int_Tables_number 139
_symmetry_space_group_name_Hall '-I 4 2'
loop_
_atom_site_label
_atom_site_type_symbol
_atom_site_fract_x
_atom_site_fract_y
_atom_site_fract_z
_atom_site_occupancy
Li1 Li 0.000 0.000 0.000 1
Li2 Li 0.000 0.500 0.120 1
Ag1 Ag 0.000 0.000 0.500 1
Pb1 Pb 0.000 0.000 0.251 1